[1]
# OsPt2Rh6

Crystalline OsPt2Rh6 at its relaxed geometry (PBE, Alexandria).

The space group is P-1 (No. 2) and the conventional cell measures 5.463, 7.242 and 7.251 Å, with angles of 85.85, 79.15 and 67.85 degrees. The inequivalent atoms are Os at (0.025, 0.335, 0.223), Pt at (0.416, 0.998, 0.331), Pt at (0.473, 0.664, 0.778), Rh at (0.080, 0.998, 0.671), Rh at (0.134, 0.665, 0.112), Rh at (0.187, 0.341, 0.557), Rh at (0.243, 0.009, 0.003), Rh at (0.298, 0.671, 0.450) and Rh at (0.351, 0.338, 0.893).

For the total magnetization, the calculation gives 0.000 μB/cell. As for the formation energy: 1 meV per atom. The excess energy over the best structure of this formula in the dataset is 0.0 meV/atom.

[2]
# OsPt8Rh6

Crystalline OsPt8Rh6 at its relaxed geometry (PBE, Alexandria).

The space group is R-3 (No. 148, hexagonal axes) and the conventional cell measures 7.2848, 7.2848 and 15.9074 Å, with angles of 90.00, 90.00 and 120.00 degrees. The inequivalent atoms are Os at (0.0000, 0.0000, 0.0000), Pt at (0.0000, 0.0000, 0.2542), Pt at (0.0145, 0.7242, 0.1279) and Rh at (0.0017, 0.7067, 0.6300).

For the total magnetization, the calculation gives 0.011 μB/cell. As for the formation energy: 275 meV per atom.

[3]
# OsPt3Rh6

Crystalline OsPt3Rh6 at its relaxed geometry (PBE, Alexandria).

The space group is P-31m (No. 162) and the conventional cell measures 5.1084, 5.1084 and 6.9212 Å, with angles of 90.00, 90.00 and 120.00 degrees. The inequivalent atoms are Os at (0.0000, 0.0000, 0.0000), Pt at (0.0000, 0.0000, 0.5000), Pt at (0.3333, 0.6667, 0.5000) and Rh at (0.0000, 0.4091, 0.8145).

For the total magnetization, the calculation gives 0.000 μB/cell. As for the formation energy: 342 meV per atom. The excess energy over the best structure of this formula in the dataset is 304.0 meV/atom.

[4]
# OsPtRh2

Crystalline OsPtRh2 at its relaxed geometry (PBE, Alexandria).

The space group is R3m (No. 160, hexagonal axes) and the conventional cell measures 3.8048, 3.8048 and 16.5254 Å, with angles of 90.00, 90.00 and 120.00 degrees. The inequivalent atoms are Os at (0.0000, 0.0000, 0.0000), Pt at (0.0000, 0.0000, 0.8397), Rh at (0.0000, 0.0000, 0.2613) and Rh at (0.0000, 0.0000, 0.4163).

For the total magnetization, the calculation gives 0.000 μB/cell. As for the formation energy: 640 meV per atom. The excess energy over the best structure of this formula in the dataset is 684.4 meV/atom.

[5]
# Os2PtRh

Crystalline Os2PtRh at its relaxed geometry (PBE, Alexandria).

The space group is I4/mmm (No. 139) and the conventional cell measures 3.841, 3.841 and 7.891 Å, with angles of 90.00, 90.00 and 90.00 degrees. The inequivalent atoms are Os at (0.000, 0.500, 0.250), Pt at (0.000, 0.000, 0.000) and Rh at (0.000, 0.000, 0.500).

For the total magnetization, the calculation gives 0.000 μB/cell. As for the formation energy: 177 meV per atom. The excess energy over the best structure of this formula in the dataset is 155.8 meV/atom.

[6]
# Os5PtRh6

Crystalline Os5PtRh6 at its relaxed geometry (PBE, Alexandria).

The space group is P6_3/mcm (No. 193) and the conventional cell measures 7.2999, 7.2999 and 7.8170 Å, with angles of 90.00, 90.00 and 120.00 degrees. The inequivalent atoms are Os at (0.0000, 0.3762, 0.2500), Os at (0.3333, 0.6667, 0.0000), Pt at (0.0000, 0.0000, 0.2500) and Rh at (0.0000, 0.3076, 0.5847).

For the total magnetization, the calculation gives 0.000 μB/cell. As for the formation energy: 475 meV per atom.